VASP calculation (PBE-GGA) on crystalline La12RhAu6 at its relaxed geometry.

Computed properties:
Fermi-level density of states, states/eV/atom: 1.35
Formation energy from the elements, meV/atom: -500

Cell: 8.7282 8.7282 8.7282 Å, 97.92 97.92 97.92°
Fractional positions:
La  0.0334  0.6808  0.9348
La  0.0652  0.9666  0.3192
La  0.1885  0.4240  0.5761
La  0.3192  0.0652  0.9666
La  0.4240  0.5761  0.1885
La  0.4239  0.8115  0.5760
La  0.5761  0.1885  0.4240
La  0.5760  0.4239  0.8115
La  0.6808  0.9348  0.0334
La  0.8115  0.5760  0.4239
La  0.9348  0.0334  0.6808
La  0.9666  0.3192  0.0652
Rh  0.0000  0.0000  0.0000
Au  0.1260  0.6271  0.3058
Au  0.3058  0.1260  0.6271
Au  0.3729  0.6942  0.8740
Au  0.6271  0.3058  0.1260
Au  0.6942  0.8740  0.3729
Au  0.8740  0.3729  0.6942